No. 1
Here is a relaxed structure of Ti6Ga5H from Alexandria. Energies are from GGA-PBE.

Lattice parameters (Å, degrees): 7.4185 7.4185 7.4185 149.10 119.67 69.33
Last column: nearest neighbours and their distance in Å.
Positions (direct):
Ti 0.0719 0.3404 0.7314  1 H 2.60, 7 Ga 2.65-2.85, 2 Ti 2.78
Ti 0.2007 0.0000 0.2007  2 H 2.48, 2 Ga 2.73
Ti 0.3910 0.6596 0.7314  1 H 2.60, 7 Ga 2.65-2.85, 2 Ti 2.78
Ti 0.6090 0.3404 0.2686  1 H 2.60, 7 Ga 2.65-2.85, 2 Ti 2.78
Ti 0.7993 0.0000 0.7993  2 H 2.48, 2 Ga 2.73
Ti 0.9281 0.6596 0.2686  1 H 2.60, 7 Ga 2.65-2.85, 2 Ti 2.78
Ga 0.1872 0.1872 0.0000  8 Ti 2.65-2.74, 2 Ga 2.76
Ga 0.3453 0.8453 0.5000  4 Ga 2.73-2.76, 8 Ti 2.81-2.92
Ga 0.5000 0.5000 0.0000  4 Ga 2.73, 8 Ti 2.79-2.98
Ga 0.6547 0.1547 0.5000  4 Ga 2.73-2.76, 8 Ti 2.81-2.92
Ga 0.8128 0.8128 0.0000  8 Ti 2.65-2.74, 2 Ga 2.76
H 0.0000 0.5000 0.5000  8 Ti 2.48-2.60

Values from the calculation:
- Total DFT energy (no corrections): -69.2 eV/cell
- Total magnetic moment: 0.694 Bohr magnetons per cell
- N(E_F): 9.20 states/eV/f.u.

=====

No. 2
Here is a relaxed structure of HgTeRhO6 from Alexandria. Energies are from GGA-PBE.

Lattice parameters (Å, degrees): 5.2823 5.2823 9.9974 90.00 90.00 120.00
Last column: nearest neighbours and their distance in Å.
Positions (direct):
Hg 0.0000 0.0000 0.0000  6 O 2.42
Hg 0.0000 0.0000 0.5000  6 O 2.42
Te 0.3333 0.6667 0.2500  6 O 1.98
Te 0.6667 0.3333 0.7500  6 O 1.98
Rh 0.3333 0.6667 0.7500  6 O 2.01
Rh 0.6667 0.3333 0.2500  6 O 2.01
O 0.0040 0.3743 0.1404  1 Te 1.98, 1 Rh 2.01
O 0.0040 0.6298 0.3596  1 Te 1.98, 1 Rh 2.01
O 0.3703 0.3743 0.3596  1 Te 1.98, 1 Rh 2.01
O 0.3703 0.9960 0.1404  1 Te 1.98, 1 Rh 2.01
O 0.3743 0.0040 0.6404  1 Te 1.98, 1 Rh 2.01
O 0.3743 0.3703 0.8596  1 Te 1.98, 1 Rh 2.01
O 0.6257 0.6298 0.1404  1 Te 1.98, 1 Rh 2.01
O 0.6257 0.9960 0.3596  1 Te 1.98, 1 Rh 2.01
O 0.6298 0.0040 0.8596  1 Te 1.98, 1 Rh 2.01
O 0.6298 0.6257 0.6404  1 Te 1.98, 1 Rh 2.01
O 0.9960 0.3703 0.6404  1 Te 1.98, 1 Rh 2.01
O 0.9960 0.6257 0.8596  1 Te 1.98, 1 Rh 2.01

Values from the calculation:
- Total DFT energy (no corrections): -94.0 eV/cell
- Total magnetic moment: 2.057 Bohr magnetons per cell
- N(E_F): 5.05 states/eV/f.u.

=====

No. 3
Here is a relaxed structure of YHgTeF2 from Alexandria. Energies are from GGA-PBE.

Lattice parameters (Å, degrees): 4.4234 4.4234 6.2290 90.00 90.00 90.00
Last column: nearest neighbours and their distance in Å.
Positions (direct):
Y 0.0000 0.0000 0.0000  4 F 2.21
Hg 0.5000 0.5000 0.5000  4 Te 3.13
Te 0.0000 0.0000 0.5000  2 Y 3.11, 4 Hg 3.13
F 0.0000 0.5000 0.0000  2 Y 2.21
F 0.5000 0.0000 0.0000  2 Y 2.21

Values from the calculation:
- Total DFT energy (no corrections): -25.4 eV/cell
- Total magnetic moment: 0.000 Bohr magnetons per cell
- N(E_F): 0.78 states/eV/f.u.

=====

No. 4
Here is a relaxed structure of RbCdIn11 from Alexandria. Energies are from GGA-PBE.

Lattice parameters (Å, degrees): 8.3661 8.3661 8.2514 97.72 97.72 135.64
Last column: nearest neighbours and their distance in Å.
Positions (direct):
Rb 0.0000 0.0000 0.0000  18 In 3.91-4.18, 2 Cd 4.21
Cd 0.5000 0.5000 0.5000  10 In 3.12-3.36
In 0.0000 0.0000 0.5000  2 Cd 3.16, 8 In 3.20-3.34
In 0.0000 0.5000 0.0000  10 In 3.16-3.43
In 0.0046 0.3599 0.3600  6 In 3.11-3.46, 1 Cd 3.36
In 0.2873 0.5019 0.7822  1 Cd 3.12, 7 In 3.18-3.46
In 0.3599 0.0046 0.3600  6 In 3.11-3.46, 1 Cd 3.36
In 0.4981 0.7127 0.2178  1 Cd 3.12, 7 In 3.18-3.46
In 0.5000 0.0000 0.0000  10 In 3.16-3.43
In 0.5019 0.2873 0.7822  1 Cd 3.12, 7 In 3.18-3.46
In 0.6401 0.9954 0.6400  6 In 3.11-3.46, 1 Cd 3.36
In 0.7127 0.4981 0.2178  1 Cd 3.12, 7 In 3.18-3.46
In 0.9954 0.6401 0.6400  6 In 3.11-3.46, 1 Cd 3.36

Values from the calculation:
- Total magnetic moment: 0.000 Bohr magnetons per cell
- N(E_F): 4.27 states/eV/f.u.
- Formation energy: -0.2 eV per formula unit